A relaxed structure of Cs2CaCrO4. Source: the Alexandria database, functional GGA+U.

Calculated values
V	26.18	Å³ per atom
E	-90.0	eV/cell

Unit cell a=5.7036 b=6.9456 c=11.9400 alpha=84.37 beta=76.18 gamma=65.76
Fractional coordinates of all 16 atoms:
O 0.3437 0.8316 0.0796
O 0.4063 0.6684 0.4204
O 0.8246 0.8316 0.9204
O 0.9254 0.6684 0.5796
O 0.2550 0.1684 0.9204
O 0.4950 0.3316 0.5796
O 0.5766 0.1684 0.0796
O 0.1734 0.3316 0.4204
Cs 0.5694 0.5000 0.8611
Cs 0.1806 0.0000 0.6389
Cs 0.9306 0.5000 0.1389
Cs 0.8194 0.0000 0.3611
Ca 0.0000 0.0000 0.0000
Ca 0.7500 0.5000 0.5000
Cr 0.5000 0.0000 0.0000
Cr 0.2500 0.5000 0.5000